Compound: AgTePdO
Source: the Open Quantum Materials Database
Functional: PBE-GGA
Structure: relaxed

Properties
crystal system = tetragonal
offset from the most stable computed form = 374.8 meV per atom
VASP energy = -3.88 eV per atom

a = 4.941 Å, b = 4.941 Å, c = 6.837 Å
α = 90.00°, β = 90.00°, γ = 90.00°
Fractional coordinates of all 8 atoms:
Ag  0.750  0.750  0.246
Ag  0.250  0.250  0.754
O  0.250  0.250  0.051
O  0.750  0.750  0.949
Pd  0.250  0.250  0.333
Pd  0.750  0.750  0.667
Te  0.750  0.250  0.500
Te  0.250  0.750  0.500

***

Compound: AgTePdO
Source: the Open Quantum Materials Database
Functional: PBE-GGA
Structure: relaxed

Properties
crystal system = orthorhombic
offset from the most stable computed form = 107.4 meV per atom
VASP energy = -4.15 eV per atom

a = 6.673 Å, b = 7.277 Å, c = 5.815 Å
α = 90.00°, β = 90.00°, γ = 90.00°
Fractional coordinates of all 16 atoms:
Ag  0.807  0.283  0.085
Ag  0.307  0.717  0.085
Ag  0.693  0.283  0.585
Ag  0.193  0.717  0.585
O  0.640  0.010  0.055
O  0.140  0.990  0.055
O  0.860  0.010  0.555
O  0.360  0.990  0.555
Pd  0.104  0.140  0.378
Pd  0.604  0.860  0.378
Pd  0.396  0.140  0.878
Pd  0.896  0.860  0.878
Te  0.389  0.356  0.233
Te  0.889  0.644  0.233
Te  0.111  0.356  0.733
Te  0.611  0.644  0.733

***

Compound: TlAgPdO3
Source: the Open Quantum Materials Database
Functional: PBE-GGA
Structure: relaxed

Properties
crystal system = orthorhombic
VASP energy = -4.54 eV per atom

a = 3.199 Å, b = 9.753 Å, c = 11.029 Å
α = 90.00°, β = 90.00°, γ = 90.00°
Fractional coordinates of all 24 atoms:
Ag  0.750  0.349  0.133
Ag  0.250  0.849  0.367
Ag  0.750  0.151  0.633
Ag  0.250  0.651  0.867
O  0.750  0.677  0.019
O  0.750  0.090  0.067
O  0.250  0.849  0.166
O  0.750  0.349  0.334
O  0.250  0.590  0.433
O  0.250  0.177  0.481
O  0.750  0.823  0.519
O  0.750  0.410  0.567
O  0.250  0.651  0.666
O  0.750  0.151  0.834
O  0.250  0.910  0.933
O  0.250  0.323  0.981
Pd  0.750  0.878  0.051
Pd  0.250  0.378  0.449
Pd  0.750  0.622  0.551
Pd  0.250  0.122  0.949
Tl  0.250  0.596  0.180
Tl  0.750  0.096  0.320
Tl  0.250  0.904  0.680
Tl  0.750  0.404  0.820

***

Compound: PrAg6O8
Source: the Open Quantum Materials Database
Functional: PBE-GGA
Structure: relaxed

Properties
crystal system = cubic
magnetic moment = 0.0 μB per cell
VASP energy = -4.46 eV per atom

a = 6.547 Å, b = 6.547 Å, c = 6.547 Å
α = 60.00°, β = 60.00°, γ = 60.00°
Fractional coordinates of all 15 atoms:
Ag  0.500  0.000  0.000
Ag  0.000  0.500  0.000
Ag  0.500  0.500  0.000
Ag  0.000  0.000  0.500
Ag  0.500  0.000  0.500
Ag  0.000  0.500  0.500
O  0.250  0.250  0.250
O  0.255  0.745  0.255
O  0.745  0.745  0.255
O  0.745  0.255  0.255
O  0.745  0.255  0.745
O  0.255  0.255  0.745
O  0.255  0.745  0.745
O  0.750  0.750  0.750
Pr  0.000  0.000  0.000

***

Compound: PrAg3O3
Source: the Open Quantum Materials Database
Functional: PBE-GGA
Structure: relaxed

Properties
crystal system = monoclinic
magnetic moment = 0.0 μB per cell
VASP energy = -5.07 eV per atom

a = 8.677 Å, b = 3.414 Å, c = 8.687 Å
α = 90.00°, β = 119.94°, γ = 90.00°
Fractional coordinates of all 14 atoms:
Ag  0.746  0.250  0.021
Ag  0.270  0.250  0.250
Ag  0.019  0.750  0.275
Ag  0.981  0.250  0.725
Ag  0.730  0.750  0.750
Ag  0.254  0.750  0.979
O  0.461  0.250  0.149
O  0.851  0.250  0.313
O  0.312  0.750  0.459
O  0.688  0.250  0.541
O  0.149  0.750  0.687
O  0.539  0.750  0.851
Pr  0.665  0.750  0.335
Pr  0.335  0.250  0.665

***

Compound: Pr2Ag2O5
Source: the Open Quantum Materials Database
Functional: PBE-GGA
Structure: relaxed

Properties
crystal system = tetragonal
offset from the most stable computed form = 132.2 meV per atom
magnetic moment = 2.1 μB per cell
VASP energy = -5.84 eV per atom

a = 9.248 Å, b = 4.114 Å, c = 4.114 Å
α = 90.00°, β = 90.00°, γ = 90.00°
Fractional coordinates of all 9 atoms:
Ag  0.000  0.000  0.000
Ag  0.500  0.000  0.000
O  0.144  0.500  0.000
O  0.856  0.500  0.000
O  0.144  0.000  0.500
O  0.856  0.000  0.500
O  0.500  0.500  0.500
Pr  0.248  0.500  0.500
Pr  0.752  0.500  0.500